[1]
Here is a geometry-optimized YCdOs2F structure from the Alexandria database. Energies are from PBE.

abc: 5.0915 5.0915 4.2699
angles: 90.00 90.00 90.00
Closest atoms and distances in Å follow each position.
Atoms (fractional coordinates):
Y1 0.0000 0.0000 0.0000  8 Os 3.32, 4 F 3.60
Cd1 0.5000 0.5000 0.5000  2 F 2.13
Os1 0.0000 0.5000 0.5000  2 Cd 2.55
Os2 0.5000 0.0000 0.5000  2 Cd 2.55
F1 0.5000 0.5000 0.0000  2 Cd 2.13

Summary:
The density of states at the Fermi level is 4.59 states/eV/f.u. As for the symmetry: P4/mmm.

---

[2]
Here is a geometry-optimized Cd2PF structure from the Alexandria database. Energies are from PBE.

abc: 7.3901 7.3901 7.3901
angles: 136.65 136.65 62.98
Closest atoms and distances in Å follow each position.
Atoms (fractional coordinates):
Cd1 0.1227 0.6250 0.9977  2 F 2.48, 2 P 2.50
Cd2 0.3750 0.3727 0.4977  2 F 2.48, 2 P 2.50
Cd3 0.6273 0.1250 0.0023  2 F 2.48, 2 P 2.50
Cd4 0.8750 0.8773 0.5023  2 F 2.48, 2 P 2.50
P1 0.2500 0.7500 0.5000  4 Cd 2.50
P2 0.5000 0.5000 0.0000  4 Cd 2.50
F1 0.0000 0.0000 0.0000  4 Cd 2.48
F2 0.7500 0.2500 0.5000  4 Cd 2.48

Summary:
The density of states at the Fermi level is 0.16 states/eV/f.u. As for the symmetry: I-42d. For the energy relative to the lowest polymorph listed for this composition, the calculation gives 0.0527 eV/atom.

---

Listing energy relative to the elements, uncorrected for the structures above in their given order: 1050, -765 meV per atom.